A relaxed structure of HfC2S, computed with GGA-PBE.

Values from the calculation:
Energy   -7.225 eV/atom
ΔE_f (raw)   87.5 kJ/mol of atoms
Volume   96.2 Å³/cell
Size of the total moment   0.0 μB/f.u.

Lattice parameters (Å, degrees): 5.072 5.072 5.182 60.70 60.70 90.00
Positions (direct):
1 C 0.203 0.625 0.250
2 C 0.547 0.125 0.250
3 C 0.375 0.453 0.750
4 S 0.250 0.750 0.500
5 Hf 0.000 0.000 0.000
6 S 0.500 0.500 0.000
7 Hf 0.750 0.250 0.500
8 C 0.875 0.797 0.750

***

A relaxed structure of Hf3CS, computed with GGA-PBE.

Values from the calculation:
Energy   -9.162 eV/atom
ΔE_f (raw)   -50.1 kJ/mol of atoms
Energy above the most stable polymorph in this dataset   11.4 kJ/mol of atoms
Volume   183.9 Å³/cell
Size of the total moment   0.0 μB/f.u.

Lattice parameters (Å, degrees): 3.323 5.816 10.071 109.18 90.00 90.00
Positions (direct):
1 Hf 0.750 0.311 0.042
2 S 0.750 0.919 0.843
3 Hf 0.250 0.912 0.360
4 S 0.250 0.081 0.157
5 C 0.250 0.268 0.551
6 Hf 0.250 0.439 0.369
7 Hf 0.750 0.088 0.640
8 Hf 0.750 0.561 0.631
9 C 0.750 0.732 0.449
10 Hf 0.250 0.689 0.958

***

A relaxed structure of Hf3CS3, computed with GGA-PBE.

Values from the calculation:
Energy   -8.787 eV/atom
ΔE_f (raw)   -138.4 kJ/mol of atoms
Volume   248.6 Å³/cell
Size of the total moment   0.0 μB/f.u.

Lattice parameters (Å, degrees): 3.479 7.186 9.947 90.91 90.00 90.00
Positions (direct):
1 Hf 0.750 0.099 0.388
2 S 0.250 0.865 0.874
3 S 0.250 0.373 0.874
4 Hf 0.250 0.901 0.612
5 Hf 0.250 0.332 0.624
6 S 0.750 0.621 0.631
7 Hf 0.250 0.878 0.147
8 C 0.250 0.879 0.376
9 Hf 0.750 0.122 0.853
10 S 0.750 0.627 0.126
11 Hf 0.750 0.668 0.376
12 S 0.250 0.379 0.369
13 C 0.750 0.121 0.624
14 S 0.750 0.135 0.126

***

A relaxed structure of Hf4CS, computed with GGA-PBE.

Values from the calculation:
Energy   -9.604 eV/atom
ΔE_f (raw)   -71.7 kJ/mol of atoms
Energy above the most stable polymorph in this dataset   0.8 kJ/mol of atoms
Volume   216.9 Å³/cell
Size of the total moment   0.0 μB/f.u.

Lattice parameters (Å, degrees): 3.359 6.028 10.881 100.21 90.00 90.00
Positions (direct):
1 C 0.500 0.000 0.500
2 S 0.500 0.500 0.000
3 Hf 0.000 0.333 0.130
4 Hf 0.500 0.106 0.878
5 S 0.000 0.500 0.500
6 Hf 0.000 0.106 0.378
7 Hf 0.000 0.667 0.870
8 Hf 0.000 0.894 0.622
9 Hf 0.500 0.667 0.370
10 Hf 0.500 0.894 0.122
11 C 0.000 0.000 0.000
12 Hf 0.500 0.333 0.630